Model A:
This record from Alexandria via LeMat-Bulk describes crystalline CuPb2Cl6 at its relaxed geometry. The functional is PBE.

```
CuPb2Cl6
1.0
-0.921 -0.053 -6.481
5.897 -7.035 -0.392
-6.159 -5.214 0.918
Cl Pb Cu
12 4 2
Direct
0.203 0.054 0.361 Cl
0.663 0.948 0.165 Cl
0.337 0.052 0.835 Cl
0.797 0.946 0.639 Cl
0.881 0.263 0.967 Cl
0.619 0.237 0.467 Cl
0.837 0.552 0.665 Cl
0.381 0.763 0.533 Cl
0.163 0.448 0.335 Cl
0.703 0.554 0.139 Cl
0.297 0.446 0.861 Cl
0.119 0.737 0.033 Cl
0.474 0.221 0.107 Pb
0.026 0.279 0.607 Pb
0.526 0.779 0.893 Pb
0.974 0.721 0.393 Pb
0.000 0.500 0.000 Cu
0.500 0.000 0.500 Cu
```

Model B:
This record from Alexandria via LeMat-Bulk describes crystalline CuPb2Cl6 at its relaxed geometry. The functional is PBE.

```
CuPb2Cl6
1.0
-0.719 4.479 4.691
-6.404 -1.238 0.200
1.960 -8.738 8.644
Cu Cl Pb
2 12 4
Direct
0.000 0.000 0.000 Cu
0.500 0.500 0.500 Cu
0.681 0.681 0.362 Cl
0.819 0.181 0.862 Cl
0.319 0.319 0.638 Cl
0.709 0.709 0.000 Cl
0.319 0.319 0.362 Cl
0.819 0.181 0.138 Cl
0.791 0.209 0.500 Cl
0.681 0.681 0.638 Cl
0.291 0.291 0.000 Cl
0.181 0.819 0.138 Cl
0.209 0.791 0.500 Cl
0.181 0.819 0.862 Cl
0.000 0.000 0.337 Pb
0.000 0.000 0.663 Pb
0.500 0.500 0.163 Pb
0.500 0.500 0.837 Pb
```

Values from the calculation:
- Density of states at the Fermi level: 9.25 states/eV/cell

Which structure loses on stability? model B does.

Model A:
This record from Alexandria via LeMat-Bulk describes crystalline CuPb3Cl at its relaxed geometry. The functional is PBE.

```
CuPb3Cl
1.0
-3.750 3.424 -2.179
-2.113 -4.180 -2.932
-3.465 -1.157 4.146
Pb Cu Cl
3 1 1
Direct
0.000 0.500 0.000 Pb
0.500 0.000 0.000 Pb
0.000 0.000 0.500 Pb
0.500 0.500 0.500 Cu
0.000 0.000 0.000 Cl
```

Values from the calculation:
- Density of states at the Fermi level: 2.18 states/eV/cell

Model B:
This record from Alexandria via LeMat-Bulk describes crystalline CuPb3Cl at its relaxed geometry. The functional is PBE.

```
CuPb3Cl
1.0
-3.095 -4.323 0.170
1.369 -1.177 -5.004
4.104 -2.867 1.797
Cl Cu Pb
1 1 3
Direct
0.500 0.500 0.500 Cl
0.000 0.000 0.000 Cu
0.500 0.000 0.000 Pb
0.000 0.500 0.000 Pb
0.000 0.000 0.500 Pb
```

Values from the calculation:
- Density of states at the Fermi level: 5.75 states/eV/cell

Which structure loses on stability? model A does.

Model A:
This record from Alexandria via LeMat-Bulk describes crystalline CuPb2Cl5 at its relaxed geometry. The functional is PBE.

```
CuPb2Cl5
1.0
5.730 0.000 0.000
-2.865 6.628 0.000
0.000 0.000 13.428
Cl Pb Cu
10 4 2
Direct
0.269 0.539 0.750 Cl
0.689 0.379 0.602 Cl
0.055 0.111 0.125 Cl
0.689 0.379 0.898 Cl
0.055 0.111 0.375 Cl
0.945 0.889 0.875 Cl
0.731 0.461 0.250 Cl
0.311 0.621 0.102 Cl
0.945 0.889 0.625 Cl
0.311 0.621 0.398 Cl
0.851 0.703 0.429 Pb
0.149 0.297 0.571 Pb
0.149 0.297 0.929 Pb
0.851 0.703 0.071 Pb
0.812 0.623 0.750 Cu
0.188 0.377 0.250 Cu
```

Model B:
This record from Alexandria via LeMat-Bulk describes crystalline CuPb2Cl5 at its relaxed geometry. The functional is PBE.

```
CuPb2Cl5
1.0
8.677 0.000 -1.520
0.000 9.002 0.000
0.691 0.000 11.890
Cl Pb Cu
20 8 4
Direct
0.728 0.422 0.721 Cl
0.844 0.065 0.612 Cl
0.415 0.886 0.106 Cl
0.272 0.578 0.279 Cl
0.536 0.642 0.899 Cl
0.915 0.614 0.106 Cl
0.156 0.935 0.388 Cl
0.036 0.858 0.899 Cl
0.585 0.114 0.894 Cl
0.656 0.565 0.388 Cl
0.008 0.674 0.607 Cl
0.228 0.078 0.721 Cl
0.508 0.826 0.607 Cl
0.344 0.435 0.612 Cl
0.492 0.174 0.393 Cl
0.964 0.142 0.101 Cl
0.772 0.922 0.279 Cl
0.085 0.386 0.894 Cl
0.992 0.326 0.393 Cl
0.464 0.358 0.101 Cl
0.257 0.610 0.044 Pb
0.743 0.390 0.956 Pb
0.468 0.841 0.367 Pb
0.757 0.890 0.044 Pb
0.968 0.659 0.367 Pb
0.243 0.110 0.956 Pb
0.032 0.341 0.633 Pb
0.532 0.159 0.633 Pb
0.017 0.114 0.293 Cu
0.517 0.386 0.293 Cu
0.983 0.886 0.707 Cu
0.483 0.614 0.707 Cu
```

Which structure loses on stability? model A does.

Model A:
This record from Alexandria via LeMat-Bulk describes crystalline Cu3PbCl at its relaxed geometry. The functional is PBE.

```
Cu3PbCl
1.0
4.607 0.000 0.000
0.000 4.607 0.000
0.000 0.000 4.607
Cu Pb Cl
3 1 1
Direct
0.000 0.000 0.500 Cu
0.000 0.500 0.000 Cu
0.500 0.000 0.000 Cu
0.500 0.500 0.500 Pb
0.000 0.000 0.000 Cl
```

Values from the calculation:
- Density of states at the Fermi level: 1.87 states/eV/cell

Model B:
This record from Alexandria via LeMat-Bulk describes crystalline Cu3PbCl at its relaxed geometry. The functional is PBE.

```
Cu3PbCl
1.0
5.043 0.000 0.000
0.000 5.043 0.000
0.000 0.000 5.043
Cu Pb Cl
3 1 1
Direct
0.000 0.000 0.500 Cu
0.500 0.000 0.000 Cu
0.000 0.500 0.000 Cu
0.000 0.000 0.000 Pb
0.500 0.500 0.500 Cl
```

Values from the calculation:
- Density of states at the Fermi level: 7.39 states/eV/cell

Which structure loses on stability? model B does.

Model A:
This record from Alexandria via LeMat-Bulk describes crystalline CuPbS2Cl at its relaxed geometry. The functional is PBE.

```
CuPbS2Cl
1.0
-4.510 2.449 -0.603
-1.782 -3.969 -2.787
-1.845 -2.301 4.457
Pb S Cl Cu
1 2 1 1
Direct
0.000 0.000 0.000 Pb
0.500 0.000 0.000 S
0.000 0.500 0.000 S
0.000 0.000 0.500 Cl
0.500 0.500 0.500 Cu
```

Values from the calculation:
- Density of states at the Fermi level: 9.16 states/eV/cell

Model B:
This record from Alexandria via LeMat-Bulk describes crystalline CuPbS2Cl at its relaxed geometry. The functional is PBE.

```
CuPbS2Cl
1.0
-2.624 -1.182 -3.490
3.665 -0.399 -2.621
0.390 -4.503 1.232
Cu Pb S Cl
1 1 2 1
Direct
0.000 0.000 0.000 Cu
0.500 0.500 0.500 Pb
0.000 0.500 0.000 S
0.500 0.000 0.000 S
0.000 0.000 0.500 Cl
```

Values from the calculation:
- Density of states at the Fermi level: 2.46 states/eV/cell

Which structure loses on stability? model A does.

Model A:
This record from Alexandria via LeMat-Bulk describes crystalline CuPbSCl2 at its relaxed geometry. The functional is PBE.

```
CuPbSCl2
1.0
-0.924 1.834 -4.884
-1.927 -4.729 -1.411
-4.776 1.507 1.470
S Cl Pb Cu
1 2 1 1
Direct
0.000 0.000 0.500 S
0.000 0.500 0.000 Cl
0.500 0.000 0.000 Cl
0.000 0.000 0.000 Pb
0.500 0.500 0.500 Cu
```

Values from the calculation:
- Density of states at the Fermi level: 17.05 states/eV/cell

Model B:
This record from Alexandria via LeMat-Bulk describes crystalline CuPbSCl2 at its relaxed geometry. The functional is PBE.

```
CuPbSCl2
1.0
4.683 0.000 0.000
0.000 4.683 0.000
0.000 0.000 4.893
Cl Cu S Pb
2 1 1 1
Direct
0.000 0.500 0.000 Cl
0.500 0.000 0.000 Cl
0.000 0.000 0.000 Cu
0.000 0.000 0.500 S
0.500 0.500 0.500 Pb
```

Values from the calculation:
- Density of states at the Fermi level: 1.59 states/eV/cell

Which structure loses on stability? model A does.

Model A:
This record from Alexandria via LeMat-Bulk describes crystalline CuPd2Cl at its relaxed geometry. The functional is PBE.

```
CuPd2Cl
1.0
0.000 3.140 3.140
3.140 0.000 3.140
3.140 3.140 0.000
Pd Cl Cu
2 1 1
Direct
0.250 0.250 0.250 Pd
0.750 0.750 0.750 Pd
0.000 0.000 0.000 Cl
0.500 0.500 0.500 Cu
```

Values from the calculation:
- Density of states at the Fermi level: 4.37 states/eV/cell

Model B:
This record from Alexandria via LeMat-Bulk describes crystalline CuPd2Cl at its relaxed geometry. The functional is PBE.

```
CuPd2Cl
1.0
7.001 0.000 0.000
0.000 7.001 0.000
3.500 3.500 2.731
Pd Cu Cl
4 2 2
Direct
0.875 0.881 0.750 Pd
0.631 0.125 0.250 Pd
0.119 0.625 0.250 Pd
0.375 0.369 0.750 Pd
0.000 0.000 0.000 Cu
0.750 0.250 0.500 Cu
0.500 0.500 0.000 Cl
0.250 0.750 0.500 Cl
```

Values from the calculation:
- Density of states at the Fermi level: 5.46 states/eV/cell

Which structure loses on stability? model B does.

Model A:
This record from Alexandria via LeMat-Bulk describes crystalline CuPdCl6 at its relaxed geometry. The functional is PBE.

```
CuPdCl6
1.0
-5.594 -2.433 0.348
-2.256 -1.718 5.412
-4.725 3.561 2.610
Cl Pd Cu
6 1 1
Direct
0.602 0.255 0.248 Cl
0.255 0.895 0.248 Cl
0.895 0.602 0.249 Cl
0.745 0.105 0.752 Cl
0.105 0.398 0.751 Cl
0.398 0.745 0.752 Cl
0.500 0.500 0.500 Pd
0.000 0.000 0.000 Cu
```

Values from the calculation:
- Density of states at the Fermi level: 7.26 states/eV/cell

Model B:
This record from Alexandria via LeMat-Bulk describes crystalline CuPdCl6 at its relaxed geometry. The functional is PBE.

```
CuPdCl6
1.0
6.240 0.396 -0.841
1.914 5.497 -2.441
-0.405 -0.691 6.287
Cl Pd Cu
6 1 1
Direct
0.723 0.722 0.000 Cl
0.277 0.278 0.000 Cl
0.754 0.389 0.287 Cl
0.754 0.103 0.713 Cl
0.246 0.897 0.287 Cl
0.246 0.611 0.713 Cl
0.500 0.500 0.000 Pd
0.000 0.000 0.000 Cu
```

Values from the calculation:
- Density of states at the Fermi level: 3.31 states/eV/cell

Which structure loses on stability? model A does.

Model A:
This record from Alexandria via LeMat-Bulk describes crystalline Cu3PdCl at its relaxed geometry. The functional is PBE.

```
Cu3PdCl
1.0
-3.241 0.552 2.887
2.606 -1.448 3.203
1.359 4.092 0.744
Pd Cu Cl
1 3 1
Direct
0.500 0.500 0.500 Pd
0.500 0.000 0.000 Cu
0.000 0.000 0.500 Cu
0.000 0.500 0.000 Cu
0.000 0.000 0.000 Cl
```

Values from the calculation:
- Density of states at the Fermi level: 1.20 states/eV/cell

Model B:
This record from Alexandria via LeMat-Bulk describes crystalline Cu3PdCl at its relaxed geometry. The functional is PBE.

```
Cu3PdCl
1.0
-3.613 -0.748 -2.957
-1.463 -3.598 2.697
-2.677 2.975 2.518
Cu Cl Pd
3 1 1
Direct
0.000 0.000 0.500 Cu
0.500 0.000 0.000 Cu
0.000 0.500 0.000 Cu
0.500 0.500 0.500 Cl
0.000 0.000 0.000 Pd
```

Values from the calculation:
- Density of states at the Fermi level: 1.86 states/eV/cell

Which structure loses on stability? model B does.

Model A:
This record from Alexandria via LeMat-Bulk describes crystalline Cu2PdCl at its relaxed geometry. The functional is PBE.

```
Cu2PdCl
1.0
0.000 3.112 3.112
3.112 0.000 3.112
3.112 3.112 0.000
Cl Cu Pd
1 2 1
Direct
0.000 0.000 0.000 Cl
0.250 0.250 0.250 Cu
0.750 0.750 0.750 Cu
0.500 0.500 0.500 Pd
```

Values from the calculation:
- Density of states at the Fermi level: 0.89 states/eV/cell

Model B:
This record from Alexandria via LeMat-Bulk describes crystalline Cu2PdCl at its relaxed geometry. The functional is PBE.

```
Cu2PdCl
1.0
-0.195 -4.124 -5.608
5.260 -3.762 2.584
0.848 -5.481 -0.322
Pd Cl Cu
2 2 4
Direct
0.000 0.000 0.000 Pd
0.750 0.250 0.500 Pd
0.500 0.500 0.000 Cl
0.250 0.750 0.500 Cl
0.375 0.395 0.750 Cu
0.875 0.855 0.750 Cu
0.145 0.625 0.250 Cu
0.605 0.125 0.250 Cu
```

Values from the calculation:
- Density of states at the Fermi level: 3.43 states/eV/cell

Which structure loses on stability? model A does.

Model A:
This record from Alexandria via LeMat-Bulk describes crystalline PmCuCl4 at its relaxed geometry. The functional is PBE.

```
PmCuCl4
1.0
8.193 -1.967 -2.326
-2.862 6.856 0.773
-2.434 1.359 6.930
Cl Cu Pm
8 2 2
Direct
0.427 0.758 0.613 Cl
0.926 0.814 0.168 Cl
0.573 0.242 0.387 Cl
0.927 0.613 0.758 Cl
0.073 0.387 0.242 Cl
0.074 0.186 0.832 Cl
0.574 0.832 0.186 Cl
0.426 0.168 0.814 Cl
0.250 0.375 0.625 Cu
0.750 0.625 0.375 Cu
0.750 0.125 0.875 Pm
0.250 0.875 0.125 Pm
```

Values from the calculation:
- Density of states at the Fermi level: 0.00 states/eV/cell

Model B:
This record from Alexandria via LeMat-Bulk describes crystalline PmCuCl4 at its relaxed geometry. The functional is PBE.

```
PmCuCl4
1.0
7.593 0.772 -0.402
3.296 6.883 -0.402
0.345 0.242 7.539
Cl Cu Pm
8 2 2
Direct
0.186 0.316 0.687 Cl
0.814 0.684 0.313 Cl
0.684 0.814 0.813 Cl
0.203 0.707 0.981 Cl
0.293 0.797 0.519 Cl
0.797 0.293 0.019 Cl
0.316 0.186 0.187 Cl
0.707 0.203 0.481 Cl
0.758 0.242 0.750 Cu
0.242 0.758 0.250 Cu
0.500 0.000 0.500 Pm
0.000 0.500 0.000 Pm
```

Values from the calculation:
- Density of states at the Fermi level: 0.00 states/eV/cell

Which structure loses on stability? model B does.